No. 1
# PBE IrSCl2, relaxed
# Total magnetic moment (μB/atom): 0.22
# Calculated volume (Å³/cell): 293.6
# Uncorrected formation energy (meV per atom): 697
# DOS at the Fermi energy (states/eV/atom): 0.9548
# DFT total energy (Ha/atom): -0.1277
# Crystal system: trigonal
data_IrSCl2
_cell_length_a 3.5794
_cell_length_b 3.5794
_cell_length_c 26.4629
_cell_angle_alpha 90.00
_cell_angle_beta 90.00
_cell_angle_gamma 120.00
_symmetry_space_group_name_H-M 'R -3 m'
_symmetry_Int_Tables_number 166
_symmetry_space_group_name_Hall '-R 3 2"'
loop_
_atom_site_label
_atom_site_type_symbol
_atom_site_fract_x
_atom_site_fract_y
_atom_site_fract_z
Ir1 Ir 0.0000 0.0000 0.0000
S1 S 0.0000 0.0000 0.5000
Cl1 Cl 0.0000 0.0000 0.3822

***

No. 2
# PBE Cs2KAgBr4, relaxed
# Total magnetic moment (μB/atom): 0.01
# Calculated volume (Å³/cell): 1368.4
# Uncorrected formation energy (meV per atom): -1371
# DOS at the Fermi energy (states/eV/atom): 0.0000
# DFT total energy (Ha/atom): -0.1071
# Crystal system: orthorhombic
data_Cs2KAgBr4
_cell_length_a 4.8086
_cell_length_b 15.4959
_cell_length_c 18.3645
_cell_angle_alpha 90.00
_cell_angle_beta 90.00
_cell_angle_gamma 90.00
_symmetry_space_group_name_H-M 'C m c m'
_symmetry_Int_Tables_number 63
_symmetry_space_group_name_Hall '-C 2c 2'
loop_
_atom_site_label
_atom_site_type_symbol
_atom_site_fract_x
_atom_site_fract_y
_atom_site_fract_z
Cs1 Cs 0.0000 0.1423 0.0592
K1 K 0.0000 0.3900 0.2500
Ag1 Ag 0.0000 0.3270 0.7500
Br1 Br 0.0000 0.0768 0.2500
Br2 Br 0.0000 0.2066 0.6415
Br3 Br 0.0000 0.5000 0.0000

***

Look up the DFT total energy of the second one.
-0.1071 Ha/atom